PBE Tm2TlSe, optimized geometry; formation energy without anion corrections = -3.97 eV/f.u.; symmetry = R-3m (166); total energy = -0.3448 Ry per atom; magnetization = 0.00 μB/cell; relative energy among the computed polymorphs = 0.000 eV per atom
1.0
1.930 1.114 7.972
-1.930 1.114 7.972
0.000 -2.229 7.972
Tm Tl Se
2 1 1
direct
0.239 0.239 0.239
0.761 0.761 0.761
0.000 0.000 0.000
0.500 0.500 0.500